Entry 1:
## Y2Er2C3 (PBE)

Data for Y2Er2C3 after structural relaxation.

Values from the calculation:
The symmetry is No. 12. For the energy, the calculation gives -51.421 eV per formula unit.

abc: 6.7424 6.7424 6.0691
angles: 114.35 114.35 31.64
Last column: nearest neighbours and their distance in Å.
Atoms (fractional coordinates):
Y1 0.1351 0.1351 0.4924  5 C 2.43-2.70
Y2 0.8649 0.8649 0.5076  5 C 2.43-2.70
Er1 0.3660 0.3660 0.0540  4 C 2.37-2.51
Er2 0.6340 0.6340 0.9460  4 C 2.37-2.51
C1 0.2214 0.2214 0.2070  3 Er 2.37-2.42, 1 Y 2.43
C2 0.5000 0.5000 0.5000  2 Er 2.51, 4 Y 2.55
C3 0.7786 0.7786 0.7930  3 Er 2.37-2.42, 1 Y 2.43


Entry 2:
## Nb4TlAsN2 (PBE)

Data for Nb4TlAsN2 after structural relaxation.

Values from the calculation:
The symmetry is No. 187. For the energy, the calculation gives -68.589 eV per formula unit.

abc: 3.2998 3.2998 12.9848
angles: 90.00 90.00 120.00
Last column: nearest neighbours and their distance in Å.
Atoms (fractional coordinates):
Nb1 0.0000 0.0000 0.1445  3 N 2.24
Nb2 0.0000 0.0000 0.8555  3 N 2.24
Nb3 0.6667 0.3333 0.3145  3 N 2.17
Nb4 0.6667 0.3333 0.6855  3 N 2.17
Tl1 0.0000 0.0000 0.5000  6 Nb 3.07, 6 Tl 3.30
As1 0.6667 0.3333 0.0000  6 Nb 2.67
N1 0.3333 0.6667 0.2352  6 Nb 2.17-2.24
N2 0.3333 0.6667 0.7648  6 Nb 2.17-2.24


Entry 3:
## Gd3InCo3 (PBE)

Data for Gd3InCo3 after structural relaxation.

Values from the calculation:
The symmetry is No. 63. For the energy, the calculation gives -39.779 eV per formula unit.

abc: 5.4615 5.4615 13.1995
angles: 90.00 90.00 134.01
Last column: nearest neighbours and their distance in Å.
Atoms (fractional coordinates):
Gd1 0.0045 0.9955 0.7500  7 Co 2.94-3.01
Gd2 0.2952 0.7048 0.6043  6 Co 2.96-3.01, 3 In 3.27
Gd3 0.2952 0.7048 0.8957  6 Co 2.96-3.01, 3 In 3.27
Gd4 0.7048 0.2952 0.1043  6 Co 2.96-3.01, 3 In 3.27
Gd5 0.7048 0.2952 0.3957  6 Co 2.96-3.01, 3 In 3.27
Gd6 0.9955 0.0045 0.2500  7 Co 2.94-3.01
In1 0.0000 0.0000 0.0000  4 Co 2.70
In2 0.0000 0.0000 0.5000  4 Co 2.70
Co1 0.2940 0.7060 0.2500  2 Co 2.25
Co2 0.4082 0.5918 0.1036  1 Co 2.25
Co3 0.4082 0.5918 0.3964  1 Co 2.25
Co4 0.5918 0.4082 0.6036  1 Co 2.25
Co5 0.5918 0.4082 0.8964  1 Co 2.25
Co6 0.7060 0.2940 0.7500  2 Co 2.25


Entry 4:
## LuGaCoAu (PBE)

Data for LuGaCoAu after structural relaxation.

Values from the calculation:
The symmetry is No. 216. For the energy, the calculation gives -18.967 eV per formula unit. The calculation puts the distance to the lowest polymorph of the same formula at 0.091 eV/atom.

abc: 4.6272 4.6272 4.6272
angles: 60.00 60.00 60.00
Last column: nearest neighbours and their distance in Å.
Atoms (fractional coordinates):
Lu1 0.0000 0.0000 0.0000  4 Ga 2.83, 4 Au 2.83
Ga1 0.2500 0.2500 0.2500  4 Co 2.83, 4 Lu 2.83
Co1 0.5000 0.5000 0.5000  4 Au 2.83, 4 Ga 2.83
Au1 0.7500 0.7500 0.7500  4 Co 2.83, 4 Lu 2.83


Entry 5:
## Hf2Pa3Zn (PBE)

Data for Hf2Pa3Zn after structural relaxation.

Values from the calculation:
The symmetry is No. 191. For the energy, the calculation gives -45.697 eV per formula unit. The calculation puts the distance to the lowest polymorph of the same formula at 0.267 eV/atom. The value obtained for the formation enthalpy at 0 K is 661 meV/atom.

abc: 5.8960 5.8960 5.0677
angles: 90.00 90.00 120.00
Last column: nearest neighbours and their distance in Å.
Atoms (fractional coordinates):
Hf1 0.3333 0.6667 0.0000  6 Pa 3.05, 3 Zn 3.40, 3 Hf 3.40
Hf2 0.6667 0.3333 0.0000  6 Pa 3.05, 3 Zn 3.40, 3 Hf 3.40
Pa1 0.0000 0.5000 0.5000  4 Pa 2.95, 4 Hf 3.05
Pa2 0.5000 0.0000 0.5000  4 Pa 2.95, 4 Hf 3.05
Pa3 0.5000 0.5000 0.5000  4 Pa 2.95, 4 Hf 3.05
Zn1 0.0000 0.0000 0.0000  6 Hf 3.40


Entry 6:
## Y4Nb2Bi3C3 (PBE)

Data for Y4Nb2Bi3C3 after structural relaxation.

Values from the calculation:
The symmetry is No. 15. For the energy, the calculation gives -91.570 eV per formula unit.

abc: 6.1347 6.1347 15.4826
angles: 101.27 101.27 60.25
Last column: nearest neighbours and their distance in Å.
Atoms (fractional coordinates):
Y1 0.0394 0.1861 0.0884  3 C 2.47-2.54
Y2 0.1264 0.3036 0.4115  3 C 2.48-2.53
Y3 0.1861 0.0394 0.5884  3 C 2.47-2.54
Y4 0.3036 0.1264 0.9115  3 C 2.48-2.53
Y5 0.6964 0.8736 0.0885  3 C 2.48-2.53
Y6 0.8139 0.9606 0.4116  3 C 2.47-2.54
Y7 0.8736 0.6964 0.5885  3 C 2.48-2.53
Y8 0.9606 0.8139 0.9116  3 C 2.47-2.54
Nb1 0.3453 0.5222 0.0701  3 C 2.19-2.24
Nb2 0.4778 0.6547 0.4299  3 C 2.19-2.24
Nb3 0.5222 0.3453 0.5701  3 C 2.19-2.24
Nb4 0.6547 0.4778 0.9299  3 C 2.19-2.24
Bi1 0.1164 0.8836 0.2500  4 Y 3.23-3.24, 2 Bi 3.26, 2 Nb 3.27
Bi2 0.2725 0.4157 0.7514  4 Y 3.22-3.26, 2 Bi 3.26-3.32, 2 Nb 3.31-3.35
Bi3 0.4157 0.2725 0.2514  4 Y 3.22-3.26, 2 Bi 3.26-3.32, 2 Nb 3.31-3.35
Bi4 0.5843 0.7275 0.7486  4 Y 3.22-3.26, 2 Bi 3.26-3.32, 2 Nb 3.31-3.35
Bi5 0.7275 0.5843 0.2486  4 Y 3.22-3.26, 2 Bi 3.26-3.32, 2 Nb 3.31-3.35
Bi6 0.8836 0.1164 0.7500  4 Y 3.23-3.24, 2 Bi 3.26, 2 Nb 3.27
C1 0.0000 0.5000 0.0000  2 Nb 2.24, 4 Y 2.47-2.48
C2 0.2029 0.6485 0.4998  2 Nb 2.19-2.20
C3 0.3515 0.7971 0.0002  2 Nb 2.19-2.20
C4 0.5000 0.0000 0.5000  2 Nb 2.24, 4 Y 2.47-2.48
C5 0.6485 0.2029 0.9998  2 Nb 2.19-2.20
C6 0.7971 0.3515 0.5002  2 Nb 2.19-2.20


Entry 7:
## TmLu2Al3CuGe2 (PBE)

Data for TmLu2Al3CuGe2 after structural relaxation.

Values from the calculation:
The symmetry is No. 38. For the energy, the calculation gives -43.423 eV per formula unit.

abc: 4.1150 6.9155 6.9155
angles: 120.04 90.00 90.00
Last column: nearest neighbours and their distance in Å.
Atoms (fractional coordinates):
Tm1 0.0000 0.0000 0.0000  1 Cu 2.80, 4 Ge 2.95
Lu1 0.0000 0.1931 0.5966  1 Cu 2.78, 4 Ge 2.94
Lu2 0.0000 0.5966 0.1931  1 Cu 2.78, 4 Ge 2.94
Al1 0.5000 0.3629 0.3629  2 Cu 2.61, 2 Ge 2.72, 2 Al 2.79
Al2 0.5000 0.5960 0.8296  2 Cu 2.62, 2 Ge 2.71-2.72, 2 Al 2.79-2.80
Al3 0.5000 0.8296 0.5960  2 Cu 2.62, 2 Ge 2.71-2.72, 2 Al 2.79-2.80
Cu1 0.0000 0.5949 0.5949  6 Al 2.61-2.62, 2 Lu 2.78, 1 Tm 2.80
Ge1 0.5000 0.2640 0.9294  3 Al 2.71-2.72, 4 Lu 2.94, 2 Tm 2.95
Ge2 0.5000 0.9294 0.2640  3 Al 2.71-2.72, 4 Lu 2.94, 2 Tm 2.95


Entry 8:
## HfInCo2 (PBE)

Data for HfInCo2 after structural relaxation.

Values from the calculation:
The symmetry is No. 194. For the energy, the calculation gives -25.292 eV per formula unit.

abc: 4.6404 4.6404 7.1868
angles: 90.00 90.00 120.00
Last column: nearest neighbours and their distance in Å.
Atoms (fractional coordinates):
Hf1 0.0000 0.0000 0.2500  3 In 2.68, 6 Co 2.89
Hf2 0.0000 0.0000 0.7500  3 In 2.68, 6 Co 2.89
In1 0.3333 0.6667 0.2500  2 Co 2.50, 3 Hf 2.68
In2 0.6667 0.3333 0.7500  2 Co 2.50, 3 Hf 2.68
Co1 0.3333 0.6667 0.5985  1 Co 2.18
Co2 0.3333 0.6667 0.9015  1 Co 2.18
Co3 0.6667 0.3333 0.0985  1 Co 2.18
Co4 0.6667 0.3333 0.4015  1 Co 2.18


Entry 9:
## Pm2Ho2O5 (PBE)

Data for Pm2Ho2O5 after structural relaxation.

Values from the calculation:
The symmetry is No. 123. For the energy, the calculation gives -67.878 eV per formula unit. The calculation puts the distance to the lowest polymorph of the same formula at 0.064 eV/atom.

abc: 4.3118 4.3118 7.5987
angles: 90.00 90.00 90.00
Last column: nearest neighbours and their distance in Å.
Atoms (fractional coordinates):
Pm1 0.0000 0.0000 0.0000  8 O 2.82
Pm2 0.0000 0.0000 0.5000  12 O 2.93-3.05
Ho1 0.5000 0.5000 0.2267  5 O 2.08-2.16
Ho2 0.5000 0.5000 0.7733  5 O 2.08-2.16
O1 0.0000 0.5000 0.2384  2 Ho 2.16
O2 0.0000 0.5000 0.7616  2 Ho 2.16
O3 0.5000 0.0000 0.2384  2 Ho 2.16
O4 0.5000 0.0000 0.7616  2 Ho 2.16
O5 0.5000 0.5000 0.5000  2 Ho 2.08


Entry 10:
## LaBeReW (PBE)

Data for LaBeReW after structural relaxation.

Values from the calculation:
The symmetry is No. 216. For the energy, the calculation gives -30.133 eV per formula unit. The calculation puts the distance to the lowest polymorph of the same formula at 0.335 eV/atom.

abc: 4.5284 4.5284 4.5284
angles: 60.00 60.00 60.00
Last column: nearest neighbours and their distance in Å.
Atoms (fractional coordinates):
La1 0.0000 0.0000 0.0000  4 Re 2.77, 4 W 2.77
Be1 0.5000 0.5000 0.5000  4 W 2.77, 4 Re 2.77
Re1 0.7500 0.7500 0.7500  4 Be 2.77, 4 La 2.77
W1 0.2500 0.2500 0.2500  4 Be 2.77, 4 La 2.77


Entry 11:
## Ho3Sc3ReTe2 (PBE)

Data for Ho3Sc3ReTe2 after structural relaxation.

Values from the calculation:
The symmetry is No. 189. For the energy, the calculation gives -57.646 eV per formula unit. The calculation puts the distance to the lowest polymorph of the same formula at 0.000 eV/atom.

abc: 7.8962 7.8962 4.0682
angles: 90.00 90.00 120.00
Last column: nearest neighbours and their distance in Å.
Atoms (fractional coordinates):
Ho1 0.0000 0.3891 0.0000  1 Re 3.07, 4 Te 3.18, 4 Sc 3.36
Ho2 0.3891 0.0000 0.0000  1 Re 3.07, 4 Te 3.18, 4 Sc 3.36
Ho3 0.6109 0.6109 0.0000  1 Re 3.07, 4 Te 3.18, 4 Sc 3.36
Sc1 0.0000 0.7696 0.5000  2 Re 2.73
Sc2 0.2304 0.2304 0.5000  2 Re 2.73
Sc3 0.7696 0.0000 0.5000  2 Re 2.73
Re1 0.0000 0.0000 0.0000  6 Sc 2.73
Te1 0.3333 0.6667 0.5000  3 Sc 3.12, 6 Ho 3.18
Te2 0.6667 0.3333 0.5000  3 Sc 3.12, 6 Ho 3.18


Entry 12:
## BeNiBiW (PBE)

Data for BeNiBiW after structural relaxation.

Values from the calculation:
The symmetry is No. 216. For the energy, the calculation gives -22.683 eV per formula unit.

abc: 4.4537 4.4537 4.4537
angles: 60.00 60.00 60.00
Last column: nearest neighbours and their distance in Å.
Atoms (fractional coordinates):
Be1 0.0000 0.0000 0.0000  4 W 2.73, 4 Bi 2.73
Ni1 0.5000 0.5000 0.5000  4 W 2.73, 4 Bi 2.73
Bi1 0.2500 0.2500 0.2500  4 Be 2.73, 4 Ni 2.73
W1 0.7500 0.7500 0.7500  4 Ni 2.73, 4 Be 2.73